(1)
The following is a DFT calculation (PBE) of LiCa2As2Pd after structural relaxation.

The structure belongs to space group Ibam (No. 72); the cell edges are 5.928, 14.175 and 5.937 Å and the angles 90.00°, 90.00° and 90.00°. The asymmetric unit holds Li at (0.000, 0.000, 0.250), Ca at (0.240, 0.336, 0.000), As at (0.245, 0.117, 0.000) and Pd at (0.000, 0.500, 0.250).

As for the formation energy from the elements: -5.6 eV per formula unit.

---

(2)
The following is a DFT calculation (PBE) of Cd4OsCl after structural relaxation.

The structure belongs to space group F-43m (No. 216); the cell edges are 7.973, 7.973 and 7.973 Å and the angles 90.00°, 90.00° and 90.00°. The asymmetric unit holds Cd at (0.124, 0.124, 0.376), Os at (0.250, 0.250, 0.750) and Cl at (0.000, 0.000, 0.000).

For the energy relative to the elements, uncorrected, the calculation gives 0.7103 eV/atom.

---

(3)
The following is a DFT calculation (PBE) of Zr2Si4Ru3 after structural relaxation.

The structure belongs to space group Cmce (No. 64); the cell edges are 5.614, 14.308 and 6.849 Å and the angles 90.00°, 90.00° and 90.00°. The asymmetric unit holds Zr at (0.000, 0.105, 0.096), Si at (0.000, 0.177, 0.476), Si at (0.250, 0.060, 0.750), Ru at (0.000, 0.000, 0.500) and Ru at (0.250, 0.230, 0.750).

For the energy relative to the elements, uncorrected, the calculation gives -0.7698 eV/atom. The energy above the lowest structure with this stoichiometry comes out at 110 meV per atom.

---

no.,calculated volume (Å³ per cell)
1,498.8
2,506.8
3,550.1